Entry 1:
10
Lattice="-3.829 1.443 5.782 5.572 -1.569 4.083 2.367 4.719 4.733" Properties=species:S:1:pos:R:3 comment="Ce6PuIn2H | Alexandria | PBE | relaxed" n_ef_per_ev_atom=2.020 e_tot_ev_per_atom=-6.242 pbc="T T T"
Ce 1.602 2.273 4.835
Ce 1.298 -0.093 7.344
Ce 3.170 -0.799 4.517
Ce 0.940 5.392 10.081
Ce 2.812 4.686 7.254
Ce 2.508 2.321 9.763
Pu 0.871 -0.063 4.932
In -0.296 3.050 7.724
In 4.406 1.543 6.874
H 2.367 4.719 4.733

---

Entry 2:
12
Lattice="-2.642 -3.866 -0.077 1.771 -4.076 1.477 -2.137 -1.492 5.869" Properties=species:S:1:pos:R:3 comment="CeInH8Rh2 | Alexandria | PBE | relaxed" n_ef_per_ev_atom=0.616 e_tot_ev_per_atom=-4.290 pbc="T T T"
Ce -1.504 -4.717 3.635
In 0.000 0.000 0.000
H -1.125 -2.125 2.910
H -2.120 -2.969 1.778
H -1.883 -7.309 4.359
H 0.284 -3.081 2.623
H -3.292 -6.353 4.646
H -0.683 -0.862 1.818
H -2.326 -8.572 5.451
H -0.888 -6.465 5.492
Rh -0.600 -2.454 1.372
Rh -2.408 -6.980 5.897

---

Entry 3:
8
Lattice="-1.842 0.505 -2.703 -2.308 -2.053 1.189 -3.652 6.219 3.651" Properties=species:S:1:pos:R:3 comment="CeInH4Ru2 | Alexandria | PBE | relaxed" n_ef_per_ev_atom=0.771 e_tot_ev_per_atom=-5.317 pbc="T T T"
Ce 0.000 0.000 0.000
In -1.826 3.110 1.825
H -1.915 0.270 1.355
H -3.812 5.176 1.538
H -1.682 1.549 -0.591
H -4.045 3.897 3.484
Ru -3.146 1.050 0.314
Ru -4.656 3.621 1.823